Entry 1:
Entry from Alexandria via LeMat-Bulk: an optimized crystal structure of Tb3ThH (PBE-GGA).

Cell lengths 5.0135, 5.0135, 5.0135 Å; angles 90.00, 90.00, 90.00 degrees
Sites, in units of the cell vectors:
1 Tb 0.0000 0.0000 0.5000
2 Tb 0.0000 0.5000 0.0000
3 Tb 0.5000 0.0000 0.0000
4 Th 0.5000 0.5000 0.5000
5 H 0.0000 0.0000 0.0000

Computed properties:
- Fermi-level density of states: 4.44 states/eV/f.u.
- Space group: No. 221



Entry 2:
Entry from Alexandria via LeMat-Bulk: an optimized crystal structure of Tb2ThH8 (PBE-GGA).

Cell lengths 6.4000, 6.4000, 6.4000 Å; angles 147.08, 128.43, 62.54 degrees
Sites, in units of the cell vectors:
1 Tb 0.1686 0.1686 0.0000
2 Tb 0.8314 0.8314 0.0000
3 Th 0.5000 0.5000 0.0000
4 H 0.0724 0.3340 0.7385
5 H 0.2232 0.0000 0.2232
6 H 0.3465 0.8465 0.5000
7 H 0.4045 0.6660 0.7385
8 H 0.5955 0.3340 0.2615
9 H 0.6535 0.1535 0.5000
10 H 0.7768 0.0000 0.7768
11 H 0.9276 0.6660 0.2615

Computed properties:
- Fermi-level density of states: 2.03 states/eV/f.u.
- Space group: No. 71



Entry 3:
Entry from Alexandria via LeMat-Bulk: an optimized crystal structure of Tb2ThH (PBE-GGA).

Cell lengths 8.7375, 8.7375, 8.7375 Å; angles 23.83, 23.83, 23.83 degrees
Sites, in units of the cell vectors:
1 Tb 0.2227 0.2227 0.2227
2 Tb 0.7773 0.7773 0.7773
3 Th 0.0000 0.0000 0.0000
4 H 0.5000 0.5000 0.5000

Computed properties:
- Fermi-level density of states: 3.48 states/eV/f.u.
- Space group: No. 166



Entry 4:
Entry from Alexandria via LeMat-Bulk: an optimized crystal structure of TbTh2H (PBE-GGA).

Cell lengths 9.9807, 9.9807, 9.9807 Å; angles 19.88, 19.88, 19.88 degrees
Sites, in units of the cell vectors:
1 Tb 0.0000 0.0000 0.0000
2 Th 0.1128 0.1128 0.1128
3 Th 0.8872 0.8872 0.8872
4 H 0.5000 0.5000 0.5000

Computed properties:
- Fermi-level density of states: 3.95 states/eV/f.u.
- Space group: No. 166



Entry 5:
Entry from Alexandria via LeMat-Bulk: an optimized crystal structure of TbTi2H (PBE-GGA).

Cell lengths 8.3178, 8.3178, 8.3178 Å; angles 21.26, 21.26, 21.26 degrees
Sites, in units of the cell vectors:
1 Tb 0.0000 0.0000 0.0000
2 Ti 0.1210 0.1210 0.1210
3 Ti 0.8790 0.8790 0.8790
4 H 0.5000 0.5000 0.5000

Computed properties:
- Fermi-level density of states: 5.18 states/eV/f.u.
- Space group: No. 166



Entry 6:
Entry from Alexandria via LeMat-Bulk: an optimized crystal structure of Tb3Ti5H12 (PBE-GGA).

Cell lengths 10.2468, 10.2468, 10.2468 Å; angles 109.47, 109.47, 109.47 degrees
Sites, in units of the cell vectors:
1 Tb 0.1250 0.2500 0.3750
2 Tb 0.1250 0.3750 0.7500
3 Tb 0.2500 0.3750 0.1250
4 Tb 0.2500 0.8750 0.6250
5 Tb 0.3750 0.1250 0.2500
6 Tb 0.3750 0.7500 0.1250
7 Tb 0.6250 0.2500 0.8750
8 Tb 0.6250 0.8750 0.7500
9 Tb 0.7500 0.1250 0.3750
10 Tb 0.7500 0.6250 0.8750
11 Tb 0.8750 0.6250 0.2500
12 Tb 0.8750 0.7500 0.6250
13 Ti 0.0000 0.0000 0.0000
14 Ti 0.0000 0.0000 0.5000
15 Ti 0.0000 0.5000 0.0000
16 Ti 0.0000 0.5000 0.5000
17 Ti 0.1250 0.7500 0.8750
18 Ti 0.1250 0.8750 0.2500
19 Ti 0.2500 0.1250 0.8750
20 Ti 0.2500 0.6250 0.3750
21 Ti 0.3750 0.2500 0.6250
22 Ti 0.3750 0.6250 0.7500
23 Ti 0.5000 0.0000 0.0000
24 Ti 0.5000 0.0000 0.5000
25 Ti 0.5000 0.5000 0.0000
26 Ti 0.5000 0.5000 0.5000
27 Ti 0.6250 0.3750 0.2500
28 Ti 0.6250 0.7500 0.3750
29 Ti 0.7500 0.3750 0.6250
30 Ti 0.7500 0.8750 0.1250
31 Ti 0.8750 0.1250 0.7500
32 Ti 0.8750 0.2500 0.1250
33 H 0.0426 0.2087 0.1290
34 H 0.0426 0.3340 0.9136
35 H 0.0797 0.7087 0.6660
36 H 0.0797 0.8710 0.4136
37 H 0.0864 0.6290 0.4203
38 H 0.0864 0.9574 0.6660
39 H 0.1290 0.0426 0.2087
40 H 0.1290 0.5864 0.9203
41 H 0.1660 0.2087 0.5797
42 H 0.1660 0.4574 0.5864
43 H 0.2087 0.1290 0.0426
44 H 0.2087 0.5797 0.1660
45 H 0.2913 0.3340 0.9203
46 H 0.2913 0.4574 0.3710
47 H 0.3340 0.9136 0.0426
48 H 0.3340 0.9203 0.2913
49 H 0.3710 0.2913 0.4574
50 H 0.3710 0.5797 0.9136
51 H 0.4136 0.0797 0.8710
52 H 0.4136 0.8340 0.5426
53 H 0.4203 0.0864 0.6290
54 H 0.4203 0.8340 0.7913
55 H 0.4574 0.3710 0.2913
56 H 0.4574 0.5864 0.1660
57 H 0.5426 0.4136 0.8340
58 H 0.5426 0.6290 0.7087
59 H 0.5797 0.1660 0.2087
60 H 0.5797 0.9136 0.3710
61 H 0.5864 0.1660 0.4574
62 H 0.5864 0.9203 0.1290
63 H 0.6290 0.4203 0.0864
64 H 0.6290 0.7087 0.5426
65 H 0.6660 0.0797 0.7087
66 H 0.6660 0.0864 0.9574
67 H 0.7087 0.5426 0.6290
68 H 0.7087 0.6660 0.0797
69 H 0.7913 0.4203 0.8340
70 H 0.7913 0.8710 0.9574
71 H 0.8340 0.5426 0.4136
72 H 0.8340 0.7913 0.4203
73 H 0.8710 0.4136 0.0797
74 H 0.8710 0.9574 0.7913
75 H 0.9136 0.0426 0.3340
76 H 0.9136 0.3710 0.5797
77 H 0.9203 0.1290 0.5864
78 H 0.9203 0.2913 0.3340
79 H 0.9574 0.6660 0.0864
80 H 0.9574 0.7913 0.8710

Computed properties:
- Fermi-level density of states: 12.55 states/eV/f.u.
- Space group: No. 230



Entry 7:
Entry from Alexandria via LeMat-Bulk: an optimized crystal structure of TbTiH2 (PBE-GGA).

Cell lengths 5.6582, 5.6582, 5.6582 Å; angles 33.00, 33.00, 33.00 degrees
Sites, in units of the cell vectors:
1 Tb 0.0000 0.0000 0.0000
2 Ti 0.5000 0.5000 0.5000
3 H 0.2259 0.2259 0.2259
4 H 0.7741 0.7741 0.7741

Computed properties:
- Fermi-level density of states: 3.81 states/eV/f.u.
- Space group: No. 166



Entry 8:
Entry from Alexandria via LeMat-Bulk: an optimized crystal structure of Tb2TlH2 (PBE-GGA).

Cell lengths 5.8846, 5.8846, 6.4705 Å; angles 104.60, 104.60, 116.33 degrees
Sites, in units of the cell vectors:
1 Tb 0.0539 0.9461 0.7500
2 Tb 0.3053 0.6947 0.2500
3 Tb 0.6947 0.3053 0.7500
4 Tb 0.9461 0.0539 0.2500
5 Tl 0.3749 0.6251 0.7500
6 Tl 0.6251 0.3749 0.2500
7 H 0.0056 0.7545 0.0093
8 H 0.2455 0.9944 0.4907
9 H 0.7545 0.0056 0.5093
10 H 0.9944 0.2455 0.9907

Computed properties:
- Fermi-level density of states: 2.59 states/eV/f.u.
- Space group: No. 15



no.,raw total energy (eV per atom)
1,-5.076
2,-4.520
3,-5.184
4,-5.619
5,-5.785
6,-5.073
7,-5.026
8,-4.177